{"formula": "Cr2NF", "functional": "PBE+U", "state": "optimized geometry", "dos_ef_per_ev_cell": 0.87, "de_polymorph_ev_per_fu": 1.97, "energy_ev_per_fu": -26.19, "lattice": [[0.000, 2.810, 2.810], [2.810, 0.000, 2.810], [2.810, 2.810, 0.000]], "species": ["Cr", "Cr", "N", "F"], "frac_coords": [[0.250, 0.250, 0.250], [0.750, 0.750, 0.750], [0.000, 0.000, 0.000], [0.500, 0.500, 0.500]]}